Entry 1:
DFT (GGA-PBEsol) results for LiZn2Cu after structural relaxation.

Results
calculated total energy = -2.446 eV per atom
E_form = -0.080 eV/atom

a = 3.015 Å, b = 3.015 Å, c = 5.620 Å
α = 90.00°, β = 90.00°, γ = 90.00°
Space group P4mm (No. 99)
Unique sites:
Li1 0.000 0.000 0.000 [1 per cell]
Zn1 0.000 0.000 0.525 [1 per cell]
Zn2 0.500 0.500 0.252 [1 per cell]
Cu1 0.500 0.500 0.761 [1 per cell]

Entry 2:
DFT (GGA-PBEsol) results for LiZn2Cu after structural relaxation.

Results
calculated total energy = -2.450 eV per atom
E_form = -0.084 eV/atom

a = 2.6493 Å, b = 2.6493 Å, c = 25.8829 Å
α = 90.00°, β = 90.00°, γ = 120.00°
Space group R-3m (No. 166, hexagonal axes)
Unique sites:
Li1 0.0000 0.0000 0.0000 [3 per cell]
Zn1 0.0000 0.0000 0.2470 [6 per cell]
Cu1 0.0000 0.0000 0.5000 [3 per cell]

Entry 3:
DFT (GGA-PBEsol) results for Li2ZnCu after structural relaxation.

Results
calculated total energy = -2.488 eV per atom
E_form = -0.025 eV/atom

a = 2.6356 Å, b = 2.6356 Å, c = 26.2867 Å
α = 90.00°, β = 90.00°, γ = 120.00°
Space group R-3m (No. 166, hexagonal axes)
Unique sites:
Li1 0.0000 0.0000 0.2462 [6 per cell]
Zn1 0.0000 0.0000 0.0000 [3 per cell]
Cu1 0.0000 0.0000 0.5000 [3 per cell]

Entry 4:
DFT (GGA-PBEsol) results for LiZn2Cu after structural relaxation.

Results
calculated total energy = -2.473 eV per atom
E_form = -0.107 eV/atom

a = 2.589 Å, b = 3.805 Å, c = 5.216 Å
α = 90.00°, β = 90.00°, γ = 90.00°
Space group Pmm2 (No. 25)
Unique sites:
Li1 0.000 0.000 0.000 [1 per cell]
Zn1 0.000 0.000 0.517 [1 per cell]
Zn2 0.500 0.500 0.251 [1 per cell]
Cu1 0.500 0.500 0.752 [1 per cell]

Entry 5:
DFT (GGA-PBEsol) results for Li2ZnCu3 after structural relaxation.

Results
calculated total energy = -3.181 eV per atom
E_form = -0.095 eV/atom

a = 4.8496 Å, b = 4.8496 Å, c = 11.9974 Å
α = 90.00°, β = 90.00°, γ = 120.00°
Space group R-3m (No. 166, hexagonal axes)
Unique sites:
Li1 0.0000 0.0000 0.1224 [6 per cell]
Zn1 0.0000 0.0000 0.5000 [3 per cell]
Cu1 0.0000 0.5000 0.0000 [9 per cell]

Entry 6:
DFT (GGA-PBEsol) results for Li2ZnCu after structural relaxation.

Results
calculated total energy = -2.528 eV per atom
E_form = -0.066 eV/atom

a = 3.643 Å, b = 3.643 Å, c = 7.901 Å
α = 90.00°, β = 90.00°, γ = 90.00°
Space group I4/mmm (No. 139)
Unique sites:
Li1 0.000 0.500 0.250 [4 per cell]
Zn1 0.000 0.000 0.000 [2 per cell]
Cu1 0.000 0.000 0.500 [2 per cell]

Entry 7:
DFT (GGA-PBEsol) results for Li2ZnCu after structural relaxation.

Results
calculated total energy = -2.543 eV per atom
E_form = -0.080 eV/atom

a = 8.736 Å, b = 2.585 Å, c = 4.749 Å
α = 90.00°, β = 98.76°, γ = 90.00°
Space group Cm (No. 8)
Unique sites:
Li1 0.000 0.000 0.000 [2 per cell]
Li2 0.237 0.000 0.750 [2 per cell]
Zn1 0.251 0.500 0.272 [2 per cell]
Cu1 0.492 0.000 0.487 [2 per cell]

Entry 8:
DFT (GGA-PBEsol) results for Li2ZnCu after structural relaxation.

Results
calculated total energy = -2.497 eV per atom
E_form = -0.034 eV/atom

a = 3.158 Å, b = 4.012 Å, c = 8.315 Å
α = 90.00°, β = 90.00°, γ = 90.00°
Space group Cmmm (No. 65)
Unique sites:
Li1 0.000 0.000 0.239 [4 per cell]
Zn1 0.000 0.500 0.500 [2 per cell]
Cu1 0.000 0.500 0.000 [2 per cell]

Entry 9:
DFT (GGA-PBEsol) results for LiZrCu2 after structural relaxation.

Results
calculated total energy = -4.941 eV per atom
E_form = -0.010 eV/atom

a = 2.832 Å, b = 3.190 Å, c = 6.362 Å
α = 90.00°, β = 90.00°, γ = 90.00°
Space group Pmmm (No. 47)
Unique sites:
Li1 0.000 0.000 0.000 [1 per cell]
Zr1 0.000 0.000 0.500 [1 per cell]
Cu1 0.500 0.500 0.212 [2 per cell]

Entry 10:
DFT (GGA-PBEsol) results for LiZrCu2 after structural relaxation.

Results
calculated total energy = -4.761 eV per atom
E_form = 0.170 eV/atom

a = 2.7958 Å, b = 2.7958 Å, c = 27.1250 Å
α = 90.00°, β = 90.00°, γ = 120.00°
Space group R3m (No. 160, hexagonal axes)
Unique sites:
Li1 0.0000 0.0000 0.0000 [3 per cell]
Zr1 0.0000 0.0000 0.2321 [3 per cell]
Cu1 0.0000 0.0000 0.4796 [3 per cell]
Cu2 0.0000 0.0000 0.7434 [3 per cell]

Entry 11:
DFT (GGA-PBEsol) results for LuCu2 after structural relaxation.

Results
calculated total energy = -4.801 eV per atom
E_form = -0.287 eV/atom

a = 4.191 Å, b = 6.485 Å, c = 7.110 Å
α = 90.00°, β = 90.00°, γ = 90.00°
Space group Imma (No. 74)
Unique sites:
Lu1 0.000 0.250 0.048 [4 per cell]
Cu1 0.000 0.053 0.664 [8 per cell]

Entry 12:
DFT (GGA-PBEsol) results for Lu6Cu23 after structural relaxation.

Results
calculated total energy = -4.660 eV per atom
E_form = -0.214 eV/atom

a = 11.799 Å, b = 11.799 Å, c = 11.799 Å
α = 90.00°, β = 90.00°, γ = 90.00°
Space group Fm-3m (No. 225)
Unique sites:
Lu1 0.000 0.000 0.212 [24 per cell]
Cu1 0.000 0.000 0.500 [4 per cell]
Cu2 0.000 0.250 0.250 [24 per cell]
Cu3 0.122 0.122 0.378 [32 per cell]
Cu4 0.173 0.173 0.173 [32 per cell]

Entry 13:
DFT (GGA-PBEsol) results for LuCu2O4 after structural relaxation.

Results
energy relative to the elements, uncorrected = -1.746 eV/atom
calculated total energy = -6.680 eV per atom

a = 5.512 Å, b = 5.512 Å, c = 9.433 Å
α = 90.00°, β = 90.00°, γ = 90.00°
Space group I4_1/a (No. 88, origin choice 2)
Unique sites:
Lu1 0.000 0.250 0.125 [4 per cell]
Cu1 0.000 0.000 0.500 [8 per cell]
O1 0.149 0.049 0.322 [16 per cell]